Compound: Ba3Ti5S12
Source: Alexandria via LeMat-Bulk
Functional: PBE
Structure: relaxed

Output
- total magnetic moment (μB/f.u.) = 2.046
- raw total energy (Ry per atom) = -0.4583

Unit cell a=15.8952 b=15.8952 c=15.8952 alpha=90.00 beta=90.00 gamma=90.00
Space group Ia-3d (No. 230)
Unique sites:
Ba 0.0000 0.2500 0.1250
Ti 0.0000 0.0000 0.0000
Ti 0.0000 0.2500 0.3750
S 0.0378 0.0467 0.6452